(1)
Computed, not measured: a geometry-optimized V2TeI structure at the GGA-PBE level of DFT.

The structure in POSCAR format:
```
V2TeI
1.0
-3.1348 3.1348 6.4797
3.1348 -3.1348 6.4797
3.1348 3.1348 -6.4797
V Te I
4 2 2
Direct
0.1101 0.6250 0.9851
0.3750 0.3601 0.4851
0.6399 0.1250 0.0149
0.8750 0.8899 0.5149
0.0000 0.0000 0.0000
0.7500 0.2500 0.5000
0.2500 0.7500 0.5000
0.5000 0.5000 0.0000
```

Summary:
* size of the total moment: 14.01 μB/cell
* energy relative to the lowest polymorph listed for this composition: 0.00 kJ per mole of atoms
* DFT total energy: -5.409 eV per atom
* space group: I-42d, No. 122

---

(2)
Computed, not measured: a geometry-optimized Sr2BiPd2 structure at the GGA-PBE level of DFT.

The structure in POSCAR format:
```
Sr2BiPd2
1.0
5.2653 -2.9999 0.0000
5.2653 2.9999 0.0000
-2.0908 0.0000 8.4804
Sr Bi Pd
4 2 4
Direct
0.0025 0.6993 0.8499
0.3007 0.9975 0.6501
0.6993 0.0025 0.3499
0.9975 0.3007 0.1501
0.3363 0.6637 0.2500
0.6637 0.3363 0.7500
0.2328 0.4959 0.5087
0.4959 0.2328 0.0087
0.5041 0.7672 0.9913
0.7672 0.5041 0.4913
```

Summary:
* size of the total moment: 0.00 μB/cell
* ΔH_f (0 K): -0.706 eV per atom
* energy relative to the lowest polymorph listed for this composition: 1.41 kJ per mole of atoms
* DFT total energy: -4.232 eV per atom
* space group: C2/c, No. 15

---

(3)
Computed, not measured: a geometry-optimized YNb2Tc structure at the GGA-PBE level of DFT.

The structure in POSCAR format:
```
YNb2Tc
1.0
0.0000 3.3477 3.3477
3.3477 0.0000 3.3477
3.3477 3.3477 0.0000
Y Nb Tc
1 2 1
Direct
0.0000 0.0000 0.0000
0.2500 0.2500 0.2500
0.7500 0.7500 0.7500
0.5000 0.5000 0.5000
```

Summary:
* size of the total moment: 0.00 μB/cell
* ΔH_f (0 K): 0.223 eV per atom
* energy relative to the lowest polymorph listed for this composition: 0.00 kJ per mole of atoms
* DFT total energy: -9.020 eV per atom
* space group: Fm-3m, No. 225

---

(4)
Computed, not measured: a geometry-optimized LiPmBr3 structure at the GGA-PBE level of DFT.

The structure in POSCAR format:
```
LiPmBr3
1.0
6.6332 0.0000 0.0000
3.1480 6.3147 0.0000
2.8183 2.3188 7.0403
Li Pm Br
2 2 6
Direct
0.1150 0.1833 0.0565
0.8850 0.8167 0.9435
0.3200 0.3683 0.4874
0.6800 0.6317 0.5126
0.0641 0.7834 0.2244
0.2554 0.5424 0.7909
0.4027 0.0716 0.2705
0.5973 0.9284 0.7295
0.7446 0.4576 0.2091
0.9359 0.2166 0.7756
```

Summary:
* size of the total moment: 2.04 μB/cell
* DFT total energy: -3.875 eV per atom
* space group: P-1, No. 2

---

(5)
Computed, not measured: a geometry-optimized CeTlCl2 structure at the GGA-PBE level of DFT.

The structure in POSCAR format:
```
CeTlCl2
1.0
1.8458 1.0656 10.4412
-1.8458 1.0656 10.4412
0.0000 -2.1313 10.4412
Ce Tl Cl
1 1 2
Direct
0.0000 0.0000 0.0000
0.5000 0.5000 0.5000
0.3946 0.3946 0.3946
0.6054 0.6054 0.6054
```

Summary:
* size of the total moment: 1.73 μB/cell
* DFT total energy: -4.349 eV per atom
* space group: R-3m, No. 166

---

(6)
Computed, not measured: a geometry-optimized Rb2MnTe structure at the GGA-PBE level of DFT.

The structure in POSCAR format:
```
Rb2MnTe
1.0
-6.6909 6.6909 2.6374
6.6909 -6.6909 2.6374
6.6909 6.6909 -2.6374
Rb Mn Te
4 2 2
Direct
0.3750 0.2114 0.3364
0.7886 0.1250 0.1636
0.8750 0.0386 0.6636
0.9614 0.6250 0.8364
0.2500 0.7500 0.5000
0.5000 0.5000 0.0000
0.0000 0.0000 0.0000
0.7500 0.2500 0.5000
```

Summary:
* size of the total moment: 7.33 μB/cell
* DFT total energy: -3.557 eV per atom
* space group: I-42d, No. 122